(1)
## Dy2GeO5 (GGA-PBE)

Data for a relaxed structure of Dy2GeO5.

Results
* final energy: -7.76 eV/atom
* ρ: 7.12 g/cm3

Cell lengths 8.1779, 8.1779, 10.3776 Å; angles 118.70, 118.70, 49.11 degrees
Sites, in units of the cell vectors:
Dy 0.0034 0.2702 0.8355
Dy 0.2091 0.7222 0.5385
Dy 0.2702 0.0034 0.3355
Dy 0.2778 0.7909 0.9615
Dy 0.7222 0.2091 0.0385
Dy 0.7298 0.9966 0.6645
Dy 0.7909 0.2778 0.4615
Dy 0.9966 0.7298 0.1645
Ge 0.2201 0.4094 0.6892
Ge 0.4094 0.2201 0.1892
Ge 0.5906 0.7799 0.8108
Ge 0.7799 0.5906 0.3108
O 0.0421 0.3489 0.6732
O 0.0808 0.8835 0.1008
O 0.0837 0.6865 0.6808
O 0.1165 0.9192 0.3992
O 0.2272 0.3672 0.0468
O 0.3135 0.9163 0.8192
O 0.3489 0.0421 0.1732
O 0.3672 0.2272 0.5468
O 0.4144 0.4196 0.3631
O 0.4196 0.4144 0.8631
O 0.5804 0.5856 0.1369
O 0.5856 0.5804 0.6369
O 0.6328 0.7728 0.4532
O 0.6511 0.9579 0.8268
O 0.6865 0.0837 0.1808
O 0.7728 0.6328 0.9532
O 0.8835 0.0808 0.6008
O 0.9163 0.3135 0.3192
O 0.9192 0.1165 0.8992
O 0.9579 0.6511 0.3268


(2)
## Nb4AlPN2 (GGA-PBE)

Data for a relaxed structure of Nb4AlPN2.

Results
* final energy: -9.01 eV/atom
* ρ: 6.88 g/cm3

Cell lengths 3.1045, 3.1045, 13.2231 Å; angles 90.00, 90.00, 120.00 degrees
Sites, in units of the cell vectors:
Nb 0.0000 0.0000 0.1344
Nb 0.0000 0.0000 0.8656
Nb 0.3333 0.6667 0.3330
Nb 0.3333 0.6667 0.6670
Al 0.0000 0.0000 0.5000
P 0.3333 0.6667 0.0000
N 0.6667 0.3333 0.2364
N 0.6667 0.3333 0.7636


(3)
## AlSi6SbIr (GGA-PBE)

Data for a relaxed structure of AlSi6SbIr.

Results
* final energy: -4.67 eV/atom
* ρ: 5.15 g/cm3

Cell lengths 6.1492, 6.1492, 6.1492 Å; angles 60.00, 60.00, 60.00 degrees
Sites, in units of the cell vectors:
Al 0.0000 0.0000 0.0000
Si 0.5477 0.5477 0.9523
Si 0.5477 0.9523 0.5477
Si 0.5477 0.9523 0.9523
Si 0.9523 0.5477 0.5477
Si 0.9523 0.5477 0.9523
Si 0.9523 0.9523 0.5477
Sb 0.2500 0.2500 0.2500
Ir 0.5000 0.5000 0.5000


(4)
## GdGePt (GGA-PBE)

Data for a relaxed structure of GdGePt.

Results
* final energy: -6.24 eV/atom
* ρ: 11.77 g/cm3

Cell lengths 7.1120, 4.3970, 7.6669 Å; angles 90.00, 90.00, 90.00 degrees
Sites, in units of the cell vectors:
Gd 0.0041 0.2500 0.2024
Gd 0.4959 0.7500 0.7024
Gd 0.5041 0.2500 0.2976
Gd 0.9959 0.7500 0.7976
Ge 0.1870 0.2500 0.5879
Ge 0.3130 0.7500 0.0879
Ge 0.6870 0.2500 0.9121
Ge 0.8130 0.7500 0.4121
Pt 0.2048 0.7500 0.4146
Pt 0.2952 0.2500 0.9146
Pt 0.7048 0.7500 0.0854
Pt 0.7952 0.2500 0.5854


(5)
## ZnSiAsO (GGA-PBE)

Data for a relaxed structure of ZnSiAsO.

Results
* final energy: -4.51 eV/atom
* ρ: 5.12 g/cm3

Cell lengths 3.5593, 3.5593, 9.4347 Å; angles 90.00, 90.00, 90.00 degrees
Sites, in units of the cell vectors:
Zn 0.2500 0.7500 0.0000
Zn 0.7500 0.2500 0.0000
Si 0.2500 0.2500 0.3990
Si 0.7500 0.7500 0.6010
As 0.2500 0.2500 0.8078
As 0.7500 0.7500 0.1922
O 0.2500 0.7500 0.5000
O 0.7500 0.2500 0.5000


(6)
## AcAl4Co (GGA-PBE)

Data for a relaxed structure of AcAl4Co.

Results
* final energy: -4.82 eV/atom
* ρ: 5.65 g/cm3

Cell lengths 7.7552, 4.0784, 7.3156 Å; angles 90.00, 90.00, 90.00 degrees
Sites, in units of the cell vectors:
Ac 0.2500 0.0000 0.1030
Ac 0.7500 0.0000 0.8970
Al 0.0000 0.0000 0.5000
Al 0.0727 0.5000 0.7706
Al 0.2500 0.5000 0.4521
Al 0.4273 0.5000 0.7706
Al 0.5000 0.0000 0.5000
Al 0.5727 0.5000 0.2294
Al 0.7500 0.5000 0.5479
Al 0.9273 0.5000 0.2294
Co 0.2500 0.0000 0.6732
Co 0.7500 0.0000 0.3268


(7)
## Hf2Ag3Pd (GGA-PBE)

Data for a relaxed structure of Hf2Ag3Pd.

Results
* ρ: 11.96 g/cm3
* energy of formation from the pure elements: -257 meV per atom

Cell lengths 3.5189, 3.5189, 8.8238 Å; angles 90.00, 90.00, 90.00 degrees
Sites, in units of the cell vectors:
Hf 0.0000 0.0000 0.0000
Hf 0.5000 0.5000 0.4832
Ag 0.0000 0.0000 0.6627
Ag 0.5000 0.5000 0.1636
Ag 0.5000 0.5000 0.8254
Pd 0.0000 0.0000 0.3326


(8)
## GdAl3P3 (GGA-PBE)

Data for a relaxed structure of GdAl3P3.

Results
* final energy: -5.10 eV/atom
* ρ: 4.04 g/cm3

Cell lengths 4.1919, 4.1919, 17.9074 Å; angles 90.00, 90.00, 120.00 degrees
Sites, in units of the cell vectors:
Gd 0.0000 0.0000 0.0000
Gd 0.0000 0.0000 0.5000
Al 0.3333 0.6667 0.1169
Al 0.3333 0.6667 0.3831
Al 0.3333 0.6667 0.7500
Al 0.6667 0.3333 0.2500
Al 0.6667 0.3333 0.6169
Al 0.6667 0.3333 0.8831
P 0.3333 0.6667 0.2500
P 0.3333 0.6667 0.5983
P 0.3333 0.6667 0.9017
P 0.6667 0.3333 0.0983
P 0.6667 0.3333 0.4017
P 0.6667 0.3333 0.7500


(9)
## ErZrTeC (GGA-PBE)

Data for a relaxed structure of ErZrTeC.

Results
* final energy: -7.24 eV/atom
* ρ: 8.38 g/cm3

Cell lengths 3.6416, 3.6416, 13.7452 Å; angles 90.00, 90.00, 120.00 degrees
Sites, in units of the cell vectors:
Er 0.3333 0.6667 0.0000
Er 0.6667 0.3333 0.5000
Zr 0.3333 0.6667 0.6818
Zr 0.6667 0.3333 0.1818
Te 0.3333 0.6667 0.3341
Te 0.6667 0.3333 0.8341
C 0.0000 0.0000 0.0983
C 0.0000 0.0000 0.5983


(10)
## BeSiGeOs (GGA-PBE)

Data for a relaxed structure of BeSiGeOs.

Results
* final energy: -5.83 eV/atom
* ρ: 9.48 g/cm3

Cell lengths 5.9449, 5.9449, 5.9449 Å; angles 90.00, 90.00, 90.00 degrees
Sites, in units of the cell vectors:
Be 0.0000 0.0000 0.0000
Be 0.0000 0.5000 0.5000
Be 0.5000 0.0000 0.5000
Be 0.5000 0.5000 0.0000
Si 0.0000 0.0000 0.5000
Si 0.0000 0.5000 0.0000
Si 0.5000 0.0000 0.0000
Si 0.5000 0.5000 0.5000
Ge 0.2500 0.2500 0.2500
Ge 0.2500 0.7500 0.7500
Ge 0.7500 0.2500 0.7500
Ge 0.7500 0.7500 0.2500
Os 0.2500 0.2500 0.7500
Os 0.2500 0.7500 0.2500
Os 0.7500 0.2500 0.2500
Os 0.7500 0.7500 0.7500


(11)
## Co3Ir (GGA-PBE)

Data for a relaxed structure of Co3Ir.

Results
* ρ: 13.03 g/cm3
* energy of formation from the pure elements: 47 meV per atom

Cell lengths 3.6092, 3.6092, 3.6092 Å; angles 90.00, 90.00, 90.00 degrees
Sites, in units of the cell vectors:
Co 0.0000 0.0000 0.5000
Co 0.0000 0.5000 0.0000
Co 0.5000 0.0000 0.0000
Ir 0.5000 0.5000 0.5000


(12)
## CuCl2 (GGA-PBE)

Data for a relaxed structure of CuCl2.

Results
* final energy: -2.92 eV/atom
* ρ: 2.86 g/cm3

Cell lengths 12.6499, 3.9850, 6.4314 Å; angles 90.00, 105.36, 90.00 degrees
Sites, in units of the cell vectors:
Cu 0.0000 0.0000 0.0000
Cu 0.0000 0.0000 0.5000
Cu 0.5000 0.5000 0.0000
Cu 0.5000 0.5000 0.5000
Cl 0.1274 0.0637 0.3175
Cl 0.1274 0.9363 0.8175
Cl 0.3726 0.4363 0.6825
Cl 0.3726 0.5637 0.1825
Cl 0.6274 0.4363 0.8175
Cl 0.6274 0.5637 0.3175
Cl 0.8726 0.0637 0.1825
Cl 0.8726 0.9363 0.6825


(13)
## BeBiMo (GGA-PBE)

Data for a relaxed structure of BeBiMo.

Results
* final energy: -5.30 eV/atom
* ρ: 9.62 g/cm3

Cell lengths 6.0070, 6.0070, 6.0070 Å; angles 90.00, 90.00, 90.00 degrees
Sites, in units of the cell vectors:
Be 0.0000 0.0000 0.0000
Be 0.0000 0.5000 0.5000
Be 0.5000 0.0000 0.5000
Be 0.5000 0.5000 0.0000
Bi 0.2500 0.2500 0.7500
Bi 0.2500 0.7500 0.2500
Bi 0.7500 0.2500 0.2500
Bi 0.7500 0.7500 0.7500
Mo 0.2500 0.2500 0.2500
Mo 0.2500 0.7500 0.7500
Mo 0.7500 0.2500 0.7500
Mo 0.7500 0.7500 0.2500


(14)
## Er3Mg3HgAu2 (GGA-PBE)

Data for a relaxed structure of Er3Mg3HgAu2.

Results
* final energy: -3.38 eV/atom
* ρ: 9.51 g/cm3

Cell lengths 7.6259, 7.6259, 4.0546 Å; angles 90.00, 90.00, 120.00 degrees
Sites, in units of the cell vectors:
Er 0.0000 0.4141 0.0000
Er 0.4141 0.0000 0.0000
Er 0.5859 0.5859 0.0000
Mg 0.0000 0.7439 0.5000
Mg 0.2561 0.2561 0.5000
Mg 0.7439 0.0000 0.5000
Hg 0.0000 0.0000 0.0000
Au 0.3333 0.6667 0.5000
Au 0.6667 0.3333 0.5000


(15)
## LuNiMoPb (GGA-PBE)

Data for a relaxed structure of LuNiMoPb.

Results
* final energy: -5.60 eV/atom
* ρ: 11.15 g/cm3

Cell lengths 6.8391, 6.8391, 6.8391 Å; angles 90.00, 90.00, 90.00 degrees
Sites, in units of the cell vectors:
Lu 0.0000 0.0000 0.0000
Lu 0.0000 0.5000 0.5000
Lu 0.5000 0.0000 0.5000
Lu 0.5000 0.5000 0.0000
Ni 0.0000 0.0000 0.5000
Ni 0.0000 0.5000 0.0000
Ni 0.5000 0.0000 0.0000
Ni 0.5000 0.5000 0.5000
Mo 0.2500 0.2500 0.7500
Mo 0.2500 0.7500 0.2500
Mo 0.7500 0.2500 0.2500
Mo 0.7500 0.7500 0.7500
Pb 0.2500 0.2500 0.2500
Pb 0.2500 0.7500 0.7500
Pb 0.7500 0.2500 0.7500
Pb 0.7500 0.7500 0.2500


(16)
## Dy2ErTm4Ni2S2 (GGA-PBE)

Data for a relaxed structure of Dy2ErTm4Ni2S2.

Results
* final energy: -5.50 eV/atom
* ρ: 9.00 g/cm3

Cell lengths 8.8390, 8.8390, 8.8390 Å; angles 155.61, 67.36, 118.31 degrees
Sites, in units of the cell vectors:
Dy 0.1355 0.0000 0.1355
Dy 0.8645 0.0000 0.8645
Er 0.7456 0.2456 0.5000
Tm 0.2243 0.8444 0.3799
Tm 0.4526 0.6367 0.8159
Tm 0.4645 0.8444 0.6201
Tm 0.8208 0.6367 0.1841
Ni 0.0737 0.3321 0.7417
Ni 0.5904 0.3321 0.2583
S 0.0962 0.5962 0.5000
S 0.4972 0.4972 0.0000


(17)
## NiBMoW (GGA-PBE)

Data for a relaxed structure of NiBMoW.

Results
* final energy: -8.39 eV/atom
* ρ: 11.37 g/cm3

Cell lengths 5.8870, 5.8870, 5.8870 Å; angles 90.00, 90.00, 90.00 degrees
Sites, in units of the cell vectors:
Ni 0.0000 0.0000 0.0000
Ni 0.0000 0.5000 0.5000
Ni 0.5000 0.0000 0.5000
Ni 0.5000 0.5000 0.0000
B 0.2500 0.2500 0.7500
B 0.2500 0.7500 0.2500
B 0.7500 0.2500 0.2500
B 0.7500 0.7500 0.7500
Mo 0.0000 0.0000 0.5000
Mo 0.0000 0.5000 0.0000
Mo 0.5000 0.0000 0.0000
Mo 0.5000 0.5000 0.5000
W 0.2500 0.2500 0.2500
W 0.2500 0.7500 0.7500
W 0.7500 0.2500 0.7500
W 0.7500 0.7500 0.2500


(18)
## LiPmPO (GGA-PBE)

Data for a relaxed structure of LiPmPO.

Results
* final energy: -5.58 eV/atom
* ρ: 4.29 g/cm3

Cell lengths 4.0660, 4.0660, 4.6573 Å; angles 90.00, 90.00, 90.00 degrees
Sites, in units of the cell vectors:
Li 0.0000 0.0000 0.0000
Pm 0.5000 0.5000 0.5000
P 0.0000 0.0000 0.5000
O 0.5000 0.5000 0.0000


(19)
## KZrAuSe3 (GGA-PBE)

Data for a relaxed structure of KZrAuSe3.

Results
* final energy: -4.92 eV/atom
* ρ: 5.81 g/cm3

Cell lengths 10.8809, 3.9472, 15.0206 Å; angles 90.00, 90.00, 90.00 degrees
Sites, in units of the cell vectors:
K 0.2371 0.2500 0.0037
K 0.2629 0.7500 0.5037
K 0.7371 0.2500 0.4963
K 0.7629 0.7500 0.9963
Zr 0.0409 0.7500 0.7548
Zr 0.4591 0.2500 0.2548
Zr 0.5409 0.7500 0.7452
Zr 0.9591 0.2500 0.2452
Au 0.2501 0.2500 0.6988
Au 0.2499 0.7500 0.1988
Au 0.7501 0.2500 0.8012
Au 0.7499 0.7500 0.3012
Se 0.0337 0.7500 0.1282
Se 0.0393 0.2500 0.6265
Se 0.2415 0.2500 0.3232
Se 0.2585 0.7500 0.8232
Se 0.4607 0.7500 0.1265
Se 0.4663 0.2500 0.6282
Se 0.5337 0.7500 0.3718
Se 0.5393 0.2500 0.8735
Se 0.7415 0.2500 0.1768
Se 0.7585 0.7500 0.6768
Se 0.9607 0.7500 0.3735
Se 0.9663 0.2500 0.8718


(20)
## CsDySiTe3 (GGA-PBE)

Data for a relaxed structure of CsDySiTe3.

Results
* final energy: -4.15 eV/atom
* ρ: 4.99 g/cm3

Cell lengths 8.5497, 8.5497, 12.0879 Å; angles 90.00, 90.00, 147.87 degrees
Sites, in units of the cell vectors:
Cs 0.2449 0.7551 0.7500
Cs 0.7551 0.2449 0.2500
Dy 0.5000 0.5000 0.0000
Dy 0.5000 0.5000 0.5000
Si 0.0400 0.9600 0.2500
Si 0.9600 0.0400 0.7500
Te 0.1209 0.8791 0.0477
Te 0.1209 0.8791 0.4523
Te 0.4533 0.5467 0.2500
Te 0.5467 0.4533 0.7500
Te 0.8791 0.1209 0.5477
Te 0.8791 0.1209 0.9523


| no. | volume (Å³/cell) |
| --- | --- |
| 1 | 446 |
| 2 | 110 |
| 3 | 164 |
| 4 | 240 |
| 5 | 120 |
| 6 | 231 |
| 7 | 109 |
| 8 | 273 |
| 9 | 158 |
| 10 | 210 |
| 11 | 47 |
| 12 | 313 |
| 13 | 217 |
| 14 | 204 |
| 15 | 320 |
| 16 | 249 |
| 17 | 204 |
| 18 | 77 |
| 19 | 645 |
| 20 | 470 |